The following is a DFT calculation (PBE) of an optimized crystal structure of PrTh3Bi6.

Calculated values
**Magnetic moment**: 0.000 μB/atom
**DFT formation energy**: -0.1926 eV/atom
**Volume**: 798 Å³/cell

Unit cell a=11.483 b=6.613 c=11.188 alpha=90.00 beta=110.09 gamma=90.00
Space group C2/m (No. 12)
Symmetry-distinct sites (fractional):
Pr1 0.000 0.000 0.000 x2
Th1 0.000 0.500 0.500 x2
Th2 0.178 0.000 0.535 x4
Bi1 0.003 0.246 0.255 x8
Bi2 0.249 0.000 0.255 x4